Entry 1
DFT (PBE) results for a geometry-optimized MgMnPt4 structure.

Computed properties:
The calculation puts the spin magnetization at 0.71 μB per atom. The symmetry is No. 47.

Unit cell a=2.841 b=4.618 c=7.454 alpha=90.00 beta=90.00 gamma=90.00
Sites, in units of the cell vectors:
Mn  0.001  0.997  0.498
Pt  0.001  0.497  0.695
Pt  0.001  0.497  0.302
Mg  0.502  0.497  0.998
Pt  0.501  0.997  0.204
Pt  0.501  0.997  0.792

---

Entry 2
DFT (PBE) results for a geometry-optimized MgMnPt4 structure.

Computed properties:
The calculation puts the spin magnetization at 0.67 μB per atom. The symmetry is No. 216.

Unit cell a=5.276 b=5.276 c=5.276 alpha=60.00 beta=60.00 gamma=60.00
Sites, in units of the cell vectors:
Mg  0.250  0.250  0.250
Pt  0.625  0.125  0.625
Pt  0.125  0.625  0.625
Mn  0.000  0.000  0.000
Pt  0.625  0.625  0.625
Pt  0.625  0.625  0.125

---

Top of the stability list: entry 1, leading by 20 meV/atom.

---

Entry 1
DFT (PBE) results for a geometry-optimized Mg3MnPt structure.

Computed properties:
The calculation puts the spin magnetization at 0.90 μB per atom. The symmetry is No. 221.

Unit cell a=4.974 b=4.974 c=4.974 alpha=90.00 beta=90.00 gamma=90.00
Sites, in units of the cell vectors:
Pt  0.000  0.000  0.000
Mg  0.000  0.000  0.500
Mg  0.500  0.000  0.000
Mn  0.500  0.500  0.500
Mg  0.000  0.500  0.000

---

Entry 2
DFT (PBE) results for a geometry-optimized Mg3MnPt structure.

Computed properties:
The calculation puts the spin magnetization at 0.70 μB per atom. The symmetry is No. 221.

Unit cell a=4.831 b=4.831 c=4.831 alpha=90.00 beta=90.00 gamma=90.00
Sites, in units of the cell vectors:
Mg  0.500  0.000  0.000
Mg  0.000  0.500  0.000
Mn  0.000  0.000  0.000
Mg  0.000  0.000  0.500
Pt  0.500  0.500  0.500

---

Top of the stability list: entry 1, leading by 693 meV/atom.